No. 1
Computed, not measured: crystalline KP2RhSe8 at its relaxed geometry at the PBE level of DFT.

Cell: 5.9655 5.9655 10.5684 Å, 90.00 90.00 120.00°
With the nearest neighbours (Å) after each atom.
Atoms (fractional coordinates):
K 0.0000 0.0000 0.0000  6 Se 3.56
P 0.6667 0.3333 0.2892  4 Se 2.17-2.31
P 0.3333 0.6667 0.7108  4 Se 2.17-2.31
Rh 0.0000 0.0000 0.5000  6 Se 2.50
Se 0.3333 0.6667 0.9157  1 P 2.17
Se 0.3058 0.3498 0.3539  1 P 2.31, 1 Rh 2.50
Se 0.6502 0.9561 0.3539  1 P 2.31, 1 Rh 2.50
Se 0.6667 0.3333 0.0843  1 P 2.17
Se 0.3498 0.0439 0.6461  1 P 2.31, 1 Rh 2.50
Se 0.6942 0.6502 0.6461  1 P 2.31, 1 Rh 2.50
Se 0.9561 0.3058 0.6461  1 P 2.31, 1 Rh 2.50
Se 0.0439 0.6942 0.3539  1 P 2.31, 1 Rh 2.50

Summary:
The calculation puts the total energy at -4.152 eV/atom. The calculation puts the raw formation energy at -0.2228 eV/atom. The space group is P-3, No. 147.

No. 2
Computed, not measured: crystalline YRe4Si2 at its relaxed geometry at the PBE level of DFT.

Cell: 7.4095 7.4095 4.1327 Å, 90.00 90.00 90.00°
With the nearest neighbours (Å) after each atom.
Atoms (fractional coordinates):
Y 0.5000 0.5000 0.0000  6 Si 3.01-3.05, 12 Re 3.23-3.34
Y 0.0000 0.0000 0.5000  6 Si 3.01-3.05, 12 Re 3.23-3.34
Re 0.6582 0.9066 0.0000  3 Si 2.45-2.56, 2 Re 2.60-2.72
Re 0.1582 0.5934 0.5000  3 Si 2.45-2.56, 2 Re 2.60-2.72
Re 0.0934 0.3418 0.0000  3 Si 2.45-2.56, 2 Re 2.60-2.72
Re 0.9066 0.6582 0.0000  3 Si 2.45-2.56, 2 Re 2.60-2.72
Re 0.4066 0.8418 0.5000  3 Si 2.45-2.56, 2 Re 2.60-2.72
Re 0.5934 0.1582 0.5000  3 Si 2.45-2.56, 2 Re 2.60-2.72
Re 0.3418 0.0934 0.0000  3 Si 2.45-2.56, 2 Re 2.60-2.72
Re 0.8418 0.4066 0.5000  3 Si 2.45-2.56, 2 Re 2.60-2.72
Si 0.2089 0.7911 0.0000  6 Re 2.45-2.56
Si 0.7911 0.2089 0.0000  6 Re 2.45-2.56
Si 0.7089 0.7089 0.5000  6 Re 2.45-2.56
Si 0.2911 0.2911 0.5000  6 Re 2.45-2.56

Summary:
The calculation puts the total energy at -10.067 eV/atom. The calculation puts the raw formation energy at -0.4806 eV/atom. The space group is P4_2/mnm, No. 136.

No. 3
Computed, not measured: crystalline Na2UCuSe4 at its relaxed geometry at the PBE level of DFT.

Cell: 4.1590 6.4978 7.4050 Å, 107.14 90.00 90.00°
With the nearest neighbours (Å) after each atom.
Atoms (fractional coordinates):
Na 0.5000 0.0000 0.5000  6 Se 2.92-3.05
Na 0.0000 0.5000 0.5000  6 Se 3.01-3.06
U 0.5000 0.5000 0.0000  6 Se 2.68-2.84
Cu 0.0000 0.0000 0.0000  2 Se 2.54
Se 0.5000 0.2498 0.2302  1 U 2.68, 2 Cu 2.87, 1 Na 2.92
Se 0.5000 0.7502 0.7698  1 U 2.68, 2 Cu 2.87, 1 Na 2.92
Se 0.0000 0.2421 0.7858  1 Cu 2.54, 2 U 2.84
Se 0.0000 0.7579 0.2142  1 Cu 2.54, 2 U 2.84

Summary:
The calculation puts the total energy at -4.886 eV/atom. The calculation puts the raw formation energy at -0.8911 eV/atom. The space group is P2/m, No. 10.

Question: Among the records above, which one has the lowest raw formation energy?
Answer: Na2UCuSe4

Question: The highest raw formation energy belongs to which entry?
Answer: KP2RhSe8

Question: raw formation energy of number 2 (YRe4Si2)?
Answer: -0.4806 eV/atom